# Li2NiO2 GGA+U relaxed
# Fermi-level density of states, states/eV per atom: 0.049
# Energy above the lowest structure with this stoichiometry, meV per atom: 97.7
# M_tot, μB/atom: 0.400
data_Li2NiO2
_chemical_formula_sum 'Li4 Ni2 O4'
_cell_length_a 2.9472
_cell_length_b 3.6498
_cell_length_c 9.6561
_cell_angle_alpha 90.00
_cell_angle_beta 90.00
_cell_angle_gamma 90.00
_symmetry_space_group_name_H-M 'I m m m'
_symmetry_Int_Tables_number 71
_symmetry_space_group_name_Hall '-I 2 2'
loop_
_atom_site_label
_atom_site_fract_x
_atom_site_fract_y
_atom_site_fract_z
Li1 0.0000 0.0000 0.2196
Ni1 0.0000 0.0000 0.5000
O1 0.0000 0.5000 0.1431